Run A
VASP calculation (GGA-PBE) on a relaxed structure of BaLi8Mg2.

a b c (Å): 10.4170 10.4170 5.0477
angles (deg): 90.12 90.12 32.48
Fractional positions:
1 Ba 0.0000 0.0000 0.0000
2 Li 0.0713 0.5652 0.9999
3 Li 0.1476 0.6248 0.5000
4 Li 0.3752 0.8524 0.5000
5 Li 0.4348 0.9287 0.0001
6 Li 0.5652 0.0713 0.9999
7 Li 0.6248 0.1476 0.5000
8 Li 0.8524 0.3752 0.5000
9 Li 0.9287 0.4348 0.0001
10 Mg 0.2453 0.2453 0.5000
11 Mg 0.7547 0.7547 0.5000

## Properties
Space-group type = C2/m
ρ = 1.4 g/cm³



Run B
VASP calculation (GGA-PBE) on a relaxed structure of BaLi8Mg2.

a b c (Å): 5.3755 5.3755 11.1098
angles (deg): 90.00 90.00 90.00
Fractional positions:
1 Ba 0.0000 0.0000 0.0000
2 Li 0.2505 0.2505 0.2864
3 Li 0.2505 0.2505 0.7136
4 Li 0.2505 0.7495 0.2864
5 Li 0.2505 0.7495 0.7136
6 Li 0.7495 0.2505 0.2864
7 Li 0.7495 0.2505 0.7136
8 Li 0.7495 0.7495 0.2864
9 Li 0.7495 0.7495 0.7136
10 Mg 0.0000 0.5000 0.5000
11 Mg 0.5000 0.0000 0.5000

## Properties
Space-group type = P4/mmm
ρ = 1.2 g/cm³



Of them, run A has the highest stability.



Run A
VASP calculation (GGA-PBE) on a relaxed structure of Ba8LiMg2.

a b c (Å): 11.2998 11.2998 8.7499
angles (deg): 108.07 108.07 32.13
Fractional positions:
1 Ba 0.0287 0.0287 0.2839
2 Ba 0.1985 0.1985 0.8003
3 Ba 0.3321 0.3321 0.5416
4 Ba 0.4036 0.4036 0.0473
5 Ba 0.5964 0.5964 0.9527
6 Ba 0.6679 0.6679 0.4584
7 Ba 0.8015 0.8015 0.1997
8 Ba 0.9713 0.9713 0.7161
9 Li 0.5000 0.5000 0.5000
10 Mg 0.1828 0.1828 0.2023
11 Mg 0.8172 0.8172 0.7977

## Properties
Space-group type = C2/m
ρ = 3.4 g/cm³



Run B
VASP calculation (GGA-PBE) on a relaxed structure of Ba8LiMg2.

a b c (Å): 10.4871 10.4871 10.4871
angles (deg): 145.72 118.39 72.44
Fractional positions:
1 Ba 0.1279 0.3404 0.7875
2 Ba 0.1316 0.1316 0.0000
3 Ba 0.3278 0.0000 0.3278
4 Ba 0.4471 0.6596 0.7875
5 Ba 0.5529 0.3404 0.2125
6 Ba 0.6722 0.0000 0.6722
7 Ba 0.8684 0.8684 0.0000
8 Ba 0.8721 0.6596 0.2125
9 Li 0.0000 0.5000 0.5000
10 Mg 0.3005 0.8005 0.5000
11 Mg 0.6995 0.1995 0.5000

## Properties
Space-group type = Immm
ρ = 3.4 g/cm³



Of them, run A has the highest stability.



Run A
VASP calculation (GGA-PBE) on a relaxed structure of Ba2LiMg2.

a b c (Å): 10.3493 10.3493 3.9155
angles (deg): 90.00 90.00 90.00
Fractional positions:
1 Ba 0.1833 0.3167 0.0000
2 Ba 0.3167 0.8167 0.0000
3 Ba 0.6833 0.1833 0.0000
4 Ba 0.8167 0.6833 0.0000
5 Li 0.0000 0.0000 0.0000
6 Li 0.5000 0.5000 0.0000
7 Mg 0.1079 0.6079 0.5000
8 Mg 0.3921 0.1079 0.5000
9 Mg 0.6079 0.8921 0.5000
10 Mg 0.8921 0.3921 0.5000

## Properties
Space-group type = P4/mbm
ρ = 2.6 g/cm³



Run B
VASP calculation (GGA-PBE) on a relaxed structure of Ba2LiMg2.

a b c (Å): 8.3600 8.3600 5.7414
angles (deg): 90.00 90.00 90.00
Fractional positions:
1 Ba 0.1744 0.3256 0.0000
2 Ba 0.3256 0.8256 0.0000
3 Ba 0.6744 0.1744 0.0000
4 Ba 0.8256 0.6744 0.0000
5 Li 0.0000 0.0000 0.5000
6 Li 0.5000 0.5000 0.5000
7 Mg 0.1298 0.6298 0.5000
8 Mg 0.3702 0.1298 0.5000
9 Mg 0.6298 0.8702 0.5000
10 Mg 0.8702 0.3702 0.5000

## Properties
Space-group type = P4/mbm
ρ = 2.7 g/cm³



Of them, run B has the highest stability.



Run A
VASP calculation (GGA-PBE) on a relaxed structure of Ba2LiMg2.

a b c (Å): 4.3698 4.3698 21.5529
angles (deg): 90.00 90.00 90.00
Fractional positions:
1 Ba 0.0000 0.0000 0.1044
2 Ba 0.0000 0.0000 0.8956
3 Ba 0.5000 0.5000 0.3956
4 Ba 0.5000 0.5000 0.6044
5 Li 0.0000 0.0000 0.5000
6 Li 0.5000 0.5000 0.0000
7 Mg 0.0000 0.5000 0.2500
8 Mg 0.0000 0.5000 0.7500
9 Mg 0.5000 0.0000 0.2500
10 Mg 0.5000 0.0000 0.7500

## Properties
Space-group type = I4/mmm
ρ = 2.7 g/cm³



Run B
VASP calculation (GGA-PBE) on a relaxed structure of Ba2LiMg2.

a b c (Å): 5.4671 6.2842 11.3365
angles (deg): 90.00 90.00 90.00
Fractional positions:
1 Ba 0.0000 0.0000 0.1938
2 Ba 0.0000 0.0000 0.8062
3 Ba 0.5000 0.5000 0.3062
4 Ba 0.5000 0.5000 0.6938
5 Li 0.0000 0.5000 0.0000
6 Li 0.5000 0.0000 0.5000
7 Mg 0.0000 0.2467 0.5000
8 Mg 0.0000 0.7533 0.5000
9 Mg 0.5000 0.2533 0.0000
10 Mg 0.5000 0.7467 0.0000

## Properties
Space-group type = Immm
ρ = 2.8 g/cm³



Of them, run B has the highest stability.